Record 1
Here is GaMo2Se after structural relaxation from Alexandria via LeMat-Bulk. Energies are from PBE-GGA.

## Properties
The value obtained for the magnetic moment is 0.00 μB per formula unit. For the energy relative to the elements, uncorrected, the calculation gives 36 kJ per mole of atoms.

Cell lengths 3.8781, 3.8781, 18.5042 Å; angles 90.00, 90.00, 90.00 degrees
Space group I-42d (No. 122)
Unique sites:
Ga1 0.0000 0.0000 0.0000 x4
Mo1 0.2350 0.2500 0.6250 x8
Se1 0.0000 0.0000 0.5000 x4


Record 2
Here is Sr2InGa4Ir3 after structural relaxation from Alexandria via LeMat-Bulk. Energies are from PBE-GGA.

## Properties
The value obtained for the magnetic moment is 0.00 μB per formula unit. Its formation energy is -0.4582 eV/atom.

Cell lengths 4.2891, 4.2891, 11.1500 Å; angles 90.00, 90.00, 90.00 degrees
Space group P-4m2 (No. 115)
Unique sites:
Sr1 0.0000 0.5000 0.2377 x2
In1 0.0000 0.0000 0.5000 x1
Ga1 0.0000 0.0000 0.0000 x1
Ga2 0.0000 0.5000 0.6481 x2
Ga3 0.5000 0.5000 0.0000 x1
Ir1 0.0000 0.5000 0.8755 x2
Ir2 0.5000 0.5000 0.5000 x1


Record 3
Here is NaBPdAu2 after structural relaxation from Alexandria via LeMat-Bulk. Energies are from PBE-GGA.

## Properties
The value obtained for the magnetic moment is 0.00 μB per formula unit. Its formation energy is -0.0809 eV/atom.

Cell lengths 4.4289, 4.4289, 4.2696 Å; angles 90.00, 90.00, 90.00 degrees
Space group P4/mmm (No. 123)
Unique sites:
Na1 0.0000 0.0000 0.0000 x1
B1 0.5000 0.5000 0.5000 x1
Pd1 0.5000 0.5000 0.0000 x1
Au1 0.0000 0.5000 0.5000 x2


Record 4
Here is MgSc2Al after structural relaxation from Alexandria via LeMat-Bulk. Energies are from PBE-GGA.

## Properties
The value obtained for the magnetic moment is 0.00 μB per formula unit. Its formation energy is -0.2873 eV/atom.

Cell lengths 6.9300, 6.9300, 6.9300 Å; angles 90.00, 90.00, 90.00 degrees
Space group Fm-3m (No. 225)
Unique sites:
Mg1 0.0000 0.0000 0.0000 x4
Sc1 0.2500 0.2500 0.2500 x8
Al1 0.0000 0.0000 0.5000 x4